Computed, not measured: a relaxed La3Cd5O12 crystal at the PBE level of DFT.

Calculated values
uncorrected formation energy: -153.47 kJ/mol of atoms
magnetization: 0.21 μB per atom
E_tot: -5.533 eV/atom
D(E_F): 18.69 states/eV/f.u.

abc: 11.798 11.798 11.798
angles: 109.47 109.47 109.47
Last column: magnetic moment on the atom in μB.
Element x y z (fractional)
La  0.750  0.375  0.125  -0.01
La  0.875  0.750  0.125  -0.01
La  0.375  0.750  0.625  -0.01
La  0.250  0.125  0.375  -0.01
La  0.875  0.125  0.250  -0.01
La  0.375  0.625  0.250  -0.01
La  0.625  0.375  0.750  -0.01
La  0.125  0.875  0.750  -0.01
La  0.750  0.875  0.625  -0.01
La  0.625  0.250  0.375  -0.01
La  0.125  0.250  0.875  -0.01
La  0.250  0.625  0.875  -0.01
Cd  0.125  0.375  0.250  0.04
Cd  0.000  0.500  0.000  0.09
Cd  0.000  0.000  0.000  0.09
Cd  0.375  0.250  0.125  0.04
Cd  0.500  0.000  0.500  0.09
Cd  0.500  0.500  0.000  0.09
Cd  0.125  0.750  0.375  0.04
Cd  0.750  0.125  0.875  0.04
Cd  0.750  0.625  0.375  0.04
Cd  0.375  0.125  0.750  0.04
Cd  0.625  0.875  0.250  0.04
Cd  0.500  0.500  0.500  0.09
Cd  0.500  0.000  0.000  0.09
Cd  0.000  0.000  0.500  0.09
Cd  0.250  0.375  0.625  0.04
Cd  0.250  0.875  0.125  0.04
Cd  0.000  0.500  0.500  0.09
Cd  0.875  0.250  0.625  0.04
Cd  0.625  0.750  0.875  0.04
Cd  0.875  0.625  0.750  0.04
O  0.717  0.134  0.047  0.27
O  0.330  0.547  0.413  0.27
O  0.953  0.366  0.283  0.27
O  0.547  0.217  0.134  0.27
O  0.583  0.717  0.670  0.27
O  0.953  0.587  0.170  0.27
O  0.330  0.783  0.417  0.27
O  0.087  0.917  0.134  0.27
O  0.587  0.953  0.670  0.27
O  0.717  0.583  0.170  0.27
O  0.783  0.453  0.366  0.27
O  0.830  0.913  0.047  0.27
O  0.134  0.717  0.547  0.27
O  0.366  0.413  0.083  0.27
O  0.083  0.913  0.366  0.27
O  0.417  0.134  0.587  0.27
O  0.083  0.170  0.217  0.27
O  0.453  0.670  0.087  0.27
O  0.830  0.917  0.283  0.27
O  0.134  0.417  0.087  0.27
O  0.366  0.953  0.783  0.27
O  0.587  0.634  0.417  0.27
O  0.913  0.830  0.547  0.27
O  0.783  0.330  0.917  0.27
O  0.413  0.366  0.583  0.27
O  0.087  0.170  0.453  0.27
O  0.217  0.670  0.083  0.27
O  0.170  0.083  0.717  0.27
O  0.634  0.047  0.217  0.27
O  0.866  0.583  0.913  0.27
O  0.547  0.330  0.913  0.27
O  0.583  0.866  0.413  0.27
O  0.917  0.830  0.783  0.27
O  0.917  0.087  0.634  0.27
O  0.866  0.283  0.453  0.27
O  0.170  0.087  0.953  0.27
O  0.634  0.587  0.917  0.27
O  0.413  0.047  0.330  0.27
O  0.283  0.417  0.830  0.27
O  0.217  0.547  0.634  0.27
O  0.913  0.083  0.866  0.27
O  0.670  0.217  0.583  0.27
O  0.453  0.783  0.866  0.27
O  0.047  0.413  0.830  0.27
O  0.417  0.283  0.330  0.27
O  0.047  0.634  0.717  0.27
O  0.670  0.453  0.587  0.27
O  0.283  0.866  0.953  0.27

=====

Computed, not measured: a relaxed NdDy2US8 crystal at the PBE level of DFT.

Calculated values
uncorrected formation energy: -143.48 kJ/mol of atoms
magnetization: 0.00 μB per atom
E_tot: -6.344 eV/atom
D(E_F): 1.79 states/eV/f.u.

abc: 6.288 5.957 8.291
angles: 89.96 90.00 90.67
Element x y z (fractional)
Nd  0.000  0.000  0.500
Dy  0.500  0.500  0.756
Dy  0.500  0.500  0.244
U  0.000  0.000  0.000
S  0.133  0.751  0.229
S  0.659  0.756  0.000
S  0.867  0.249  0.229
S  0.867  0.249  0.771
S  0.341  0.244  0.000
S  0.133  0.751  0.771
S  0.577  0.783  0.500
S  0.423  0.217  0.500

=====

Computed, not measured: a relaxed BaMg2CdAu2 crystal at the PBE level of DFT.

Calculated values
ΔH_f (0 K): -0.5192 eV per atom
magnetization: 0.00 μB per atom
E_tot: -2.616 eV/atom
D(E_F): 3.54 states/eV/f.u.

abc: 4.791 4.791 7.688
angles: 90.00 90.00 120.00
Element x y z (fractional)
Ba  0.000  0.000  0.000
Mg  0.333  0.667  0.656
Mg  0.667  0.333  0.344
Cd  0.000  0.000  0.500
Au  0.333  0.667  0.291
Au  0.667  0.333  0.709

=====

Computed, not measured: a relaxed PtRhBr4 crystal at the PBE level of DFT.

Calculated values
uncorrected formation energy: 144.05 kJ/mol of atoms
magnetization: 0.28 μB per atom
E_tot: -1.854 eV/atom
D(E_F): 12.35 states/eV/f.u.

abc: 5.940 5.940 5.940
angles: 60.00 60.00 60.00
Last column: magnetic moment on the atom in μB.
Element x y z (fractional)
Pt  0.750  0.750  0.750  0.34
Rh  0.000  0.000  0.000  1.48
Br  0.874  0.375  0.375  -0.04
Br  0.375  0.375  0.874  -0.04
Br  0.375  0.874  0.375  -0.04
Br  0.375  0.375  0.375  -0.04

=====

Computed, not measured: a relaxed Ac5CoPt2 crystal at the PBE level of DFT.

Calculated values
ΔH_f (0 K): -0.5630 eV per atom
magnetization: 0.00 μB per atom
E_tot: -5.529 eV/atom
D(E_F): 5.70 states/eV/f.u.

abc: 5.140 10.703 19.912
angles: 90.00 90.00 90.00
Element x y z (fractional)
Ac  0.250  0.454  0.304
Ac  0.250  0.439  0.063
Ac  0.250  0.337  0.860
Ac  0.250  0.361  0.488
Ac  0.750  0.234  0.173
Ac  0.250  0.266  0.673
Ac  0.750  0.139  0.988
Ac  0.750  0.163  0.360
Ac  0.750  0.061  0.563
Ac  0.750  0.046  0.804
Ac  0.250  0.954  0.196
Ac  0.250  0.939  0.437
Ac  0.250  0.837  0.640
Ac  0.250  0.861  0.012
Ac  0.750  0.734  0.327
Ac  0.250  0.766  0.827
Ac  0.750  0.639  0.512
Ac  0.750  0.663  0.140
Ac  0.750  0.561  0.937
Ac  0.750  0.546  0.696
Co  0.750  0.388  0.057
Co  0.250  0.112  0.557
Co  0.750  0.888  0.443
Co  0.250  0.612  0.943
Pt  0.750  0.450  0.398
Pt  0.750  0.312  0.769
Pt  0.250  0.188  0.269
Pt  0.250  0.050  0.898
Pt  0.750  0.950  0.102
Pt  0.750  0.812  0.731
Pt  0.250  0.688  0.231
Pt  0.250  0.550  0.602

=====

Computed, not measured: a relaxed In4NiAg crystal at the PBE level of DFT.

Calculated values
ΔH_f (0 K): -0.0710 eV per atom
ΔE to the lowest computed polymorph: 0 meV/atom
magnetization: 0.00 μB per atom
E_tot: -3.335 eV/atom
D(E_F): 3.03 states/eV/f.u.

abc: 4.539 4.539 6.635
angles: 90.00 90.00 90.00
Element x y z (fractional)
In  0.501  0.997  0.269
In  0.501  0.997  0.727
In  0.001  0.497  0.727
In  0.001  0.497  0.269
Ni  0.001  0.997  0.498
Ag  0.501  0.497  0.998

=====

Computed, not measured: a relaxed Tb2Pm6Ho3Sc crystal at the PBE level of DFT.

Calculated values
ΔH_f (0 K): 0.0232 eV per atom
magnetization: 0.00 μB per atom
E_tot: -4.796 eV/atom
D(E_F): 14.02 states/eV/f.u.

abc: 6.204 6.204 11.744
angles: 95.04 95.04 119.99
Element x y z (fractional)
Tb  0.333  0.667  0.000
Tb  0.667  0.333  0.000
Pm  0.918  0.587  0.752
Pm  0.752  0.752  0.249
Pm  0.082  0.413  0.248
Pm  0.587  0.918  0.752
Pm  0.248  0.248  0.751
Pm  0.413  0.082  0.248
Ho  0.167  0.833  0.500
Ho  0.833  0.167  0.500
Ho  0.500  0.500  0.500
Sc  0.000  0.000  0.000

=====

Computed, not measured: a relaxed ZrZn2Pt crystal at the PBE level of DFT.

Calculated values
ΔH_f (0 K): -0.5728 eV per atom
magnetization: 0.00 μB per atom
E_tot: -4.857 eV/atom
D(E_F): 2.44 states/eV/f.u.

abc: 4.321 5.159 6.678
angles: 90.00 90.00 113.94
Element x y z (fractional)
Zr  0.086  0.169  0.250
Zr  0.914  0.831  0.750
Zn  0.376  0.750  0.057
Zn  0.376  0.750  0.443
Zn  0.624  0.250  0.943
Zn  0.624  0.250  0.557
Pt  0.792  0.579  0.250
Pt  0.208  0.421  0.750

=====

Computed, not measured: a relaxed La4TlPd crystal at the PBE level of DFT.

Calculated values
ΔH_f (0 K): -0.3899 eV per atom
ΔE to the lowest computed polymorph: 37 meV/atom
magnetization: 0.00 μB per atom
E_tot: -4.935 eV/atom
D(E_F): 6.23 states/eV/f.u.

abc: 6.187 8.699 8.571
angles: 113.48 101.99 107.58
Element x y z (fractional)
La  0.052  0.200  0.843
La  0.766  0.694  0.615
La  0.291  0.643  0.843
La  0.349  0.921  0.615
La  0.651  0.079  0.385
La  0.709  0.357  0.157
La  0.234  0.306  0.385
La  0.948  0.800  0.157
Tl  0.364  0.614  0.228
Tl  0.636  0.386  0.772
Pd  0.254  0.004  0.009
Pd  0.746  0.996  0.991

=====

Computed, not measured: a relaxed K3Nd2HoTe6 crystal at the PBE level of DFT.

Calculated values
uncorrected formation energy: -135.68 kJ/mol of atoms
magnetization: 0.00 μB per atom
E_tot: -4.428 eV/atom

abc: 7.923 7.923 8.667
angles: 98.77 98.77 120.01
Element x y z (fractional)
K  0.169  0.831  0.500
K  0.831  0.169  0.500
K  0.500  0.500  0.500
Nd  0.334  0.666  0.000
Nd  0.666  0.334  0.000
Ho  0.000  0.000  0.000
Te  0.929  0.604  0.788
Te  0.746  0.746  0.213
Te  0.071  0.396  0.212
Te  0.604  0.929  0.788
Te  0.254  0.254  0.787
Te  0.396  0.071  0.212